1.
CuSbSe3 | PBE | relaxed

Properties
- energy above the lowest structure with this stoichiometry (meV/atom) = 0
- DOS(E_F) (states/eV/atom) = 0.763

POSCAR file:
```
CuSbSe3
1.0
-3.619 0.173 -1.587
2.327 -2.522 -5.582
-0.071 -9.129 4.096
Se Sb Cu
6 2 2
direct
0.432 0.805 0.863
0.779 0.749 0.558
0.917 0.297 0.834
0.568 0.305 0.137
0.221 0.249 0.442
0.083 0.797 0.166
0.656 0.991 0.311
0.344 0.491 0.689
0.880 0.953 0.760
0.120 0.453 0.240
```

***

2.
Cu3SbSe3 | PBE | relaxed

Properties
- E_tot (eV per atom) = -3.98

POSCAR file:
```
Cu3SbSe3
1.0
-2.020 3.557 5.558
-7.721 -1.734 -1.697
0.687 -8.840 5.908
Se Cu Sb
12 12 4
direct
0.147 0.008 0.250
0.656 0.153 0.440
0.844 0.653 0.440
0.156 0.347 0.940
0.344 0.847 0.940
0.156 0.347 0.560
0.344 0.847 0.560
0.353 0.508 0.250
0.656 0.153 0.060
0.853 0.992 0.750
0.647 0.492 0.750
0.844 0.653 0.060
0.727 0.892 0.551
0.048 0.711 0.250
0.773 0.392 0.949
0.227 0.608 0.449
0.273 0.108 0.051
0.727 0.892 0.949
0.452 0.211 0.250
0.548 0.789 0.750
0.952 0.289 0.750
0.273 0.108 0.449
0.227 0.608 0.051
0.773 0.392 0.551
0.114 0.753 0.750
0.614 0.747 0.250
0.386 0.253 0.750
0.886 0.247 0.250
```

***

3.
Cu2SbSe | PBE | relaxed

Properties
- DOS(E_F) (states/eV/atom) = 0.503
- E_tot (eV per atom) = -3.71

POSCAR file:
```
Cu2SbSe
1.0
5.123 -0.032 0.044
0.888 5.045 -0.044
-2.066 -3.633 2.963
Sb Cu Se
1 2 1
direct
0.750 0.250 0.500
0.485 0.485 0.000
0.015 0.015 0.000
0.250 0.750 0.500
```

***

Values for theoretical density, g/cm³, ordered as above
5.5; 6.1; 7.1